VASP calculation (GGA-PBE) on an optimized crystal structure of AcGaSe.

```
data_AcGaSe
_chemical_formula_sum 'Ac2 Ga2 Se2'
_symmetry_space_group_name_H-M 'P 4/n m m'
_symmetry_Int_Tables_number 129
_cell_length_a 4.192
_cell_length_b 4.192
_cell_length_c 10.241
_cell_angle_alpha 90.00
_cell_angle_beta 90.00
_cell_angle_gamma 90.00
loop_
_symmetry_equiv_pos_as_xyz
'x,y,z'
'-x,-y,-z'
'-y+1/2,x,z'
'y+1/2,-x,-z'
'-x+1/2,-y+1/2,z'
'x+1/2,y+1/2,-z'
'y,-x+1/2,z'
'-y,x+1/2,-z'
'x+1/2,-y,-z'
'-x+1/2,y,z'
'-y,-x,-z'
'y,x,z'
'-x,y+1/2,-z'
'x,-y+1/2,z'
'y+1/2,x+1/2,-z'
'-y+1/2,-x+1/2,z'
loop_
_atom_site_label
_atom_site_type_symbol
_atom_site_fract_x
_atom_site_fract_y
_atom_site_fract_z
Ac1 Ac 0.250 0.250 0.203
Ga1 Ga 0.250 0.250 0.534
Se1 Se 0.250 0.250 0.882
```

Computed properties:
Its raw total energy is -4.630 eV per atom. As for the crystal system: tetragonal. The formation energy from raw total energies comes out at -1.09 eV per atom. The calculation puts the polymorph energy (0 for the lowest one) at 0 meV/atom.

=====

VASP calculation (GGA-PBE) on an optimized crystal structure of Ac6GaSe12.

```
data_Ac6GaSe12
_chemical_formula_sum 'Ac18 Ga3 Se36'
_symmetry_space_group_name_H-M 'R -3'
_symmetry_Int_Tables_number 148
_symmetry_space_group_name_Hall '-R 3'
_cell_length_a 13.2126
_cell_length_b 13.2126
_cell_length_c 12.5536
_cell_angle_alpha 90.00
_cell_angle_beta 90.00
_cell_angle_gamma 120.00
loop_
_atom_site_label
_atom_site_type_symbol
_atom_site_fract_x
_atom_site_fract_y
_atom_site_fract_z
Ac1 Ac 0.0546 0.7811 0.1468
Ga1 Ga 0.0000 0.0000 0.5000
Se1 Se 0.0409 0.8204 0.9016
Se2 Se 0.0621 0.8628 0.3913
```

Computed properties:
Its raw total energy is -5.184 eV per atom. As for the crystal system: trigonal. The formation energy from raw total energies comes out at -1.53 eV per atom.

=====

VASP calculation (GGA-PBE) on an optimized crystal structure of Sr2AcGaSe5.

```
data_Sr2AcGaSe5
_chemical_formula_sum 'Sr8 Ac4 Ga4 Se20'
_symmetry_space_group_name_H-M 'C m c 21'
_symmetry_Int_Tables_number 36
_cell_length_a 4.236
_cell_length_b 20.032
_cell_length_c 12.718
_cell_angle_alpha 90.00
_cell_angle_beta 90.00
_cell_angle_gamma 90.00
loop_
_symmetry_equiv_pos_as_xyz
'x,y,z'
'-x,-y,z+1/2'
'-x,y,z'
'x,-y,z+1/2'
'x+1/2,y+1/2,z'
'-x+1/2,-y+1/2,z+1/2'
'-x+1/2,y+1/2,z'
'x+1/2,-y+1/2,z+1/2'
loop_
_atom_site_label
_atom_site_type_symbol
_atom_site_fract_x
_atom_site_fract_y
_atom_site_fract_z
Sr1 Sr 0.000 0.106 0.000
Sr2 Sr 0.000 0.114 0.647
Ac1 Ac 0.000 0.209 0.345
Ga1 Ga 0.000 0.443 0.749
Se1 Se 0.000 0.044 0.358
Se2 Se 0.000 0.299 0.014
Se3 Se 0.000 0.328 0.673
Se4 Se 0.000 0.360 0.329
Se5 Se 0.000 0.497 0.087
```

Computed properties:
Its raw total energy is -4.717 eV per atom. As for the crystal system: orthorhombic. The formation energy from raw total energies comes out at -1.61 eV per atom.

=====

VASP calculation (GGA-PBE) on an optimized crystal structure of Ac6GaTe3Se2.

```
data_Ac6GaTe3Se2
_chemical_formula_sum 'Ac12 Ga2 Te6 Se4'
_symmetry_space_group_name_H-M 'C 1 2/m 1'
_symmetry_Int_Tables_number 12
_cell_length_a 7.981
_cell_length_b 13.799
_cell_length_c 8.187
_cell_angle_alpha 90.00
_cell_angle_beta 108.88
_cell_angle_gamma 90.00
loop_
_symmetry_equiv_pos_as_xyz
'x,y,z'
'-x,-y,-z'
'-x,y,-z'
'x,-y,z'
'x+1/2,y+1/2,z'
'-x+1/2,-y+1/2,-z'
'-x+1/2,y+1/2,-z'
'x+1/2,-y+1/2,z'
loop_
_atom_site_label
_atom_site_type_symbol
_atom_site_fract_x
_atom_site_fract_y
_atom_site_fract_z
Ac1 Ac 0.239 0.164 0.227
Ac2 Ac 0.249 0.500 0.228
Ga1 Ga 0.000 0.000 0.000
Te1 Te 0.000 0.169 0.500
Te2 Te 0.000 0.500 0.500
Se1 Se 0.000 0.334 0.000
```

Computed properties:
Its raw total energy is -5.157 eV per atom. As for the crystal system: monoclinic. The formation energy from raw total energies comes out at -1.48 eV per atom.

=====

VASP calculation (GGA-PBE) on an optimized crystal structure of Ac6GaTe2Se3.

```
data_Ac6GaTe2Se3
_chemical_formula_sum 'Ac12 Ga2 Te4 Se6'
_symmetry_space_group_name_H-M 'C 1 2/m 1'
_symmetry_Int_Tables_number 12
_cell_length_a 8.048
_cell_length_b 13.887
_cell_length_c 7.885
_cell_angle_alpha 90.00
_cell_angle_beta 109.78
_cell_angle_gamma 90.00
loop_
_symmetry_equiv_pos_as_xyz
'x,y,z'
'-x,-y,-z'
'-x,y,-z'
'x,-y,z'
'x+1/2,y+1/2,z'
'-x+1/2,-y+1/2,-z'
'-x+1/2,y+1/2,-z'
'x+1/2,-y+1/2,z'
loop_
_atom_site_label
_atom_site_type_symbol
_atom_site_fract_x
_atom_site_fract_y
_atom_site_fract_z
Ac1 Ac 0.229 0.000 0.242
Ac2 Ac 0.244 0.158 0.758
Ga1 Ga 0.000 0.000 0.500
Te1 Te 0.000 0.334 0.500
Se1 Se 0.000 0.172 0.000
Se2 Se 0.000 0.500 0.000
```

Computed properties:
Its raw total energy is -5.228 eV per atom. As for the crystal system: monoclinic. The formation energy from raw total energies comes out at -1.53 eV per atom.

=====

VASP calculation (GGA-PBE) on an optimized crystal structure of AcGaTeSe.

```
data_AcGaTeSe
_chemical_formula_sum 'Ac4 Ga4 Te4 Se4'
_symmetry_space_group_name_H-M 'F -4 3 m'
_symmetry_Int_Tables_number 216
_symmetry_space_group_name_Hall 'F -4 2 3'
_cell_length_a 7.761
_cell_length_b 7.761
_cell_length_c 7.761
_cell_angle_alpha 90.00
_cell_angle_beta 90.00
_cell_angle_gamma 90.00
loop_
_atom_site_label
_atom_site_type_symbol
_atom_site_fract_x
_atom_site_fract_y
_atom_site_fract_z
Ac1 Ac 0.000 0.000 0.000
Ga1 Ga 0.000 0.000 0.500
Te1 Te 0.250 0.250 0.750
Se1 Se 0.250 0.250 0.250
```

Computed properties:
Its raw total energy is -4.503 eV per atom. As for the crystal system: cubic. The formation energy from raw total energies comes out at -1.06 eV per atom.

=====

VASP calculation (GGA-PBE) on an optimized crystal structure of Ac4GaTeSe2.

```
data_Ac4GaTeSe2
_chemical_formula_sum 'Ac4 Ga1 Te1 Se2'
_symmetry_space_group_name_H-M 'P 1 2/m 1'
_symmetry_Int_Tables_number 10
_cell_length_a 7.934
_cell_length_b 4.530
_cell_length_c 8.098
_cell_angle_alpha 90.00
_cell_angle_beta 108.97
_cell_angle_gamma 90.00
loop_
_symmetry_equiv_pos_as_xyz
'x,y,z'
'-x,-y,-z'
'-x,y,-z'
'x,-y,z'
loop_
_atom_site_label
_atom_site_type_symbol
_atom_site_fract_x
_atom_site_fract_y
_atom_site_fract_z
Ac1 Ac 0.243 0.000 0.233
Ac2 Ac 0.249 0.500 0.759
Ga1 Ga 0.500 0.000 0.000
Te1 Te 0.500 0.500 0.500
Se1 Se 0.000 0.000 0.500
Se2 Se 0.000 0.500 0.000
```

Computed properties:
Its raw total energy is -5.123 eV per atom. As for the crystal system: monoclinic. The formation energy from raw total energies comes out at -1.43 eV per atom.

=====

VASP calculation (GGA-PBE) on an optimized crystal structure of AcTl2GaSe4.

```
data_AcTl2GaSe4
_chemical_formula_sum 'Ac4 Tl8 Ga4 Se16'
_symmetry_space_group_name_H-M 'C 1 2/c 1'
_symmetry_Int_Tables_number 15
_cell_length_a 12.427
_cell_length_b 12.507
_cell_length_c 8.300
_cell_angle_alpha 90.00
_cell_angle_beta 131.85
_cell_angle_gamma 90.00
loop_
_symmetry_equiv_pos_as_xyz
'x,y,z'
'-x,-y,-z'
'-x,y,-z+1/2'
'x,-y,z+1/2'
'x+1/2,y+1/2,z'
'-x+1/2,-y+1/2,-z'
'-x+1/2,y+1/2,-z+1/2'
'x+1/2,-y+1/2,z+1/2'
loop_
_atom_site_label
_atom_site_type_symbol
_atom_site_fract_x
_atom_site_fract_y
_atom_site_fract_z
Ac1 Ac 0.250 0.250 0.000
Tl1 Tl 0.000 0.000 0.000
Tl2 Tl 0.250 0.250 0.500
Ga1 Ga 0.000 0.500 0.000
Se1 Se 0.000 0.270 0.509
Se2 Se 0.195 0.498 0.946
```

Computed properties:
Its raw total energy is -4.034 eV per atom. As for the crystal system: monoclinic. The formation energy from raw total energies comes out at -0.81 eV per atom.

=====

VASP calculation (GGA-PBE) on an optimized crystal structure of Ac2GaSi3.

```
data_Ac2GaSi3
_chemical_formula_sum 'Ac16 Ga8 Si24'
_symmetry_space_group_name_H-M 'F m m m'
_symmetry_Int_Tables_number 69
_symmetry_space_group_name_Hall '-F 2 2'
_cell_length_a 8.611
_cell_length_b 9.251
_cell_length_c 14.576
_cell_angle_alpha 90.00
_cell_angle_beta 90.00
_cell_angle_gamma 90.00
loop_
_atom_site_label
_atom_site_type_symbol
_atom_site_fract_x
_atom_site_fract_y
_atom_site_fract_z
Ac1 Ac 0.000 0.247 0.000
Ac2 Ac 0.250 0.250 0.250
Ga1 Ga 0.000 0.000 0.334
Si1 Si 0.000 0.000 0.164
Si2 Si 0.246 0.000 0.083
```

Computed properties:
Its raw total energy is -5.153 eV per atom. As for the crystal system: orthorhombic. The formation energy from raw total energies comes out at -0.57 eV per atom.

=====

VASP calculation (GGA-PBE) on an optimized crystal structure of Ac3GaSi2.

```
data_Ac3GaSi2
_chemical_formula_sum 'Ac6 Ga2 Si4'
_symmetry_space_group_name_H-M 'C m m m'
_symmetry_Int_Tables_number 65
_symmetry_space_group_name_Hall '-C 2 2'
_cell_length_a 5.317
_cell_length_b 15.995
_cell_length_c 4.098
_cell_angle_alpha 90.00
_cell_angle_beta 90.00
_cell_angle_gamma 90.00
loop_
_atom_site_label
_atom_site_type_symbol
_atom_site_fract_x
_atom_site_fract_y
_atom_site_fract_z
Ac1 Ac 0.000 0.000 0.000
Ac2 Ac 0.000 0.326 0.000
Ga1 Ga 0.000 0.500 0.500
Si1 Si 0.000 0.160 0.500
```

Computed properties:
Its raw total energy is -4.748 eV per atom. As for the crystal system: orthorhombic. The formation energy from raw total energies comes out at -0.38 eV per atom. The calculation puts the polymorph energy (0 for the lowest one) at 134 meV/atom.

=====

VASP calculation (GGA-PBE) on an optimized crystal structure of Ac4GaSi.

```
data_Ac4GaSi
_chemical_formula_sum 'Ac4 Ga1 Si1'
_symmetry_space_group_name_H-M 'P 4/m m m'
_symmetry_Int_Tables_number 123
_symmetry_space_group_name_Hall '-P 4 2'
_cell_length_a 5.381
_cell_length_b 5.381
_cell_length_c 7.615
_cell_angle_alpha 90.00
_cell_angle_beta 90.00
_cell_angle_gamma 90.00
loop_
_atom_site_label
_atom_site_type_symbol
_atom_site_fract_x
_atom_site_fract_y
_atom_site_fract_z
Ac1 Ac 0.000 0.500 0.245
Ga1 Ga 0.000 0.000 0.500
Si1 Si 0.500 0.500 0.000
```

Computed properties:
Its raw total energy is -4.402 eV per atom. As for the crystal system: tetragonal. The formation energy from raw total energies comes out at -0.25 eV per atom.

=====

VASP calculation (GGA-PBE) on an optimized crystal structure of Ac5GaSi2.

```
data_Ac5GaSi2
_chemical_formula_sum 'Ac20 Ga4 Si8'
_symmetry_space_group_name_H-M 'I 4/m c m'
_symmetry_Int_Tables_number 140
_symmetry_space_group_name_Hall '-I 4 2c'
_cell_length_a 8.262
_cell_length_b 8.262
_cell_length_c 15.399
_cell_angle_alpha 90.00
_cell_angle_beta 90.00
_cell_angle_gamma 90.00
loop_
_atom_site_label
_atom_site_type_symbol
_atom_site_fract_x
_atom_site_fract_y
_atom_site_fract_z
Ac1 Ac 0.000 0.000 0.000
Ac2 Ac 0.176 0.324 0.143
Ga1 Ga 0.000 0.000 0.250
Si1 Si 0.112 0.388 0.500
```

Computed properties:
Its raw total energy is -4.738 eV per atom. As for the crystal system: tetragonal. The formation energy from raw total energies comes out at -0.44 eV per atom.

=====

Question: raw total energy of number 2 (Ac6GaSe12)?
Answer: -5.184 eV per atom